Entry 1:
Computed, not measured: a geometry-optimized CoSb2IBr structure at the PBEsol level of DFT.

Cell lengths 5.467, 5.467, 5.652 Å; angles 90.00, 90.00, 90.00 degrees
Space group P4/mmm (No. 123)
Inequivalent atoms, fractional coordinates:
Co: 0.000 0.000 0.000
Sb: 0.000 0.500 0.500
I: 0.500 0.500 0.000
Br: 0.500 0.500 0.500

Formation energy (no corrections) = 7.7 eV/f.u.
Calculated total energy = -2.556 eV/atom


Entry 2:
Computed, not measured: a geometry-optimized InCoOs2F structure at the PBEsol level of DFT.

Cell lengths 4.917, 4.917, 4.669 Å; angles 90.00, 90.00, 90.00 degrees
Space group P4/mmm (No. 123)
Inequivalent atoms, fractional coordinates:
In: 0.000 0.000 0.000
Co: 0.000 0.000 0.500
Os: 0.000 0.500 0.000
F: 0.500 0.500 0.500

Formation energy (no corrections) = 13.5 eV/f.u.
Calculated total energy = -4.719 eV/atom


Entry 3:
Computed, not measured: a geometry-optimized Li2PtAu structure at the PBEsol level of DFT.

Cell lengths 9.774, 2.738, 4.594 Å; angles 90.00, 113.01, 90.00 degrees
Space group Cm (No. 8)
Inequivalent atoms, fractional coordinates:
Li: 0.000 0.000 0.000
Li: 0.232 0.000 0.566
Pt: 0.491 0.000 0.503
Au: 0.246 0.500 0.069

Energy relative to the elements = -178 kJ/mol of formula units
Calculated total energy = -4.166 eV/atom